1.
# LaMnBe

A crystal of LaMnBe relaxed with PBEsol (meta-GGA SCAN, Alexandria).

Computed properties:
- Density: 7033 kg/m³
- Energy: -1.58376 Ry/atom
- Space-group type: No. 107
- N(E_F): 0.849 states/eV per atom

Structure (POSCAR):
```
LaMnBe
1.0
-2.491 1.960 0.394
0.116 -0.486 3.155
4.121 2.901 -1.322
Be Mn La
1 1 1
direct
0.060 0.060 0.120
0.593 0.593 0.186
0.347 0.347 0.693
```

***

2.
# LaMn2Be

A crystal of LaMn2Be relaxed with PBEsol (meta-GGA SCAN, Alexandria).

Computed properties:
- Density: 6495 kg/m³
- Energy: -1.54135 Ry/atom
- Relative energy among the computed polymorphs: 0.000 eV per atom
- Space-group type: No. 160
- N(E_F): 0.804 states/eV per atom

Structure (POSCAR):
```
LaMn2Be
1.0
3.815 0.000 0.000
1.907 3.303 0.000
1.907 1.101 5.230
Be Mn La
1 2 1
direct
0.443 0.443 0.670
0.061 0.061 0.816
0.745 0.745 0.766
0.255 0.255 0.236
```

***

3.
# La2BeMo

A crystal of La2BeMo relaxed with PBEsol (meta-GGA SCAN, Alexandria).

Computed properties:
- Density: 6898 kg/m³
- Energy: -2.29054 Ry/atom
- Space-group type: No. 99
- N(E_F): 0.588 states/eV per atom

Structure (POSCAR):
```
La2BeMo
1.0
3.393 0.000 0.000
0.000 3.393 0.000
0.000 0.000 8.003
Be Mo La
1 1 2
direct
0.500 0.500 0.678
0.000 0.000 0.589
0.000 0.000 0.905
0.500 0.500 0.328
```

***

4.
# La2BeMo

A crystal of La2BeMo relaxed with PBEsol (meta-GGA SCAN, Alexandria).

Computed properties:
- Density: 7387 kg/m³
- Energy: -2.28226 Ry/atom
- Space-group type: No. 44
- N(E_F): 0.705 states/eV per atom

Structure (POSCAR):
```
La2BeMo
1.0
3.688 0.000 0.000
0.000 4.860 0.000
-1.844 -2.430 4.802
Be Mo La
1 1 2
direct
0.201 0.701 0.402
0.550 0.550 0.101
0.978 0.978 0.957
0.770 0.270 0.540
```

***

Formation energy from the elements readings, ordered: 356; 21; 198; 310 meV/atom